[1]
CeNdPd2 after structural relaxation. Source: Alexandria, functional PBE.

## Properties
- Energy relative to the lowest polymorph listed for this composition: 12 kJ/mol of formula units
- ΔH_f (0 K): -0.64 eV/atom

Lattice parameters (Å, degrees): 4.160 4.160 7.295 73.43 73.43 60.00
Fractional coordinates of all 4 atoms:
Pd (0.253, 0.253, 0.240)
Pd (0.747, 0.747, 0.760)
Ce (0.000, 0.000, 0.000)
Nd (0.500, 0.500, 0.500)


[2]
Ce2NdPd after structural relaxation. Source: Alexandria, functional PBE.

## Properties
- Energy relative to the lowest polymorph listed for this composition: 0 kJ/mol of formula units
- ΔH_f (0 K): -0.24 eV/atom

Lattice parameters (Å, degrees): 3.699 3.699 8.065 90.00 90.00 90.00
Fractional coordinates of all 4 atoms:
Ce (0.000, 0.000, 0.195)
Ce (0.000, 0.000, 0.805)
Pd (0.500, 0.500, 0.000)
Nd (0.500, 0.500, 0.500)


[3]
CeNdPdRh after structural relaxation. Source: Alexandria, functional PBE.

## Properties
- Energy relative to the lowest polymorph listed for this composition: 39 kJ/mol of formula units
- ΔH_f (0 K): -0.65 eV/atom

Lattice parameters (Å, degrees): 5.030 5.030 5.030 60.00 60.00 60.00
Fractional coordinates of all 4 atoms:
Rh (0.500, 0.500, 0.500)
Pd (0.000, 0.000, 0.000)
Nd (0.750, 0.750, 0.750)
Ce (0.250, 0.250, 0.250)


[4]
CeNdPdRh after structural relaxation. Source: Alexandria, functional PBE.

## Properties
- Energy relative to the lowest polymorph listed for this composition: 0 kJ/mol of formula units
- ΔH_f (0 K): -0.75 eV/atom

Lattice parameters (Å, degrees): 3.887 4.168 6.095 90.00 108.59 90.00
Fractional coordinates of all 4 atoms:
Nd (0.145, 0.000, 0.290)
Pd (0.583, 0.500, 0.166)
Ce (0.870, 0.500, 0.740)
Rh (0.402, 0.000, 0.803)


[5]
CeNdPdRu after structural relaxation. Source: Alexandria, functional PBE.

## Properties
- ΔH_f (0 K): -0.44 eV/atom

Lattice parameters (Å, degrees): 5.004 5.004 5.004 60.00 60.00 60.00
Fractional coordinates of all 4 atoms:
Ce (0.500, 0.500, 0.500)
Pd (0.250, 0.250, 0.250)
Ru (0.750, 0.750, 0.750)
Nd (0.000, 0.000, 0.000)


[6]
Ce2NdSb2Pd2 after structural relaxation. Source: Alexandria, functional PBE.

Lattice parameters (Å, degrees): 4.659 4.659 9.438 75.71 75.71 60.00
Fractional coordinates of all 7 atoms:
Pd (0.434, 0.434, 0.697)
Pd (0.566, 0.566, 0.303)
Ce (0.858, 0.858, 0.427)
Ce (0.142, 0.142, 0.573)
Sb (0.734, 0.734, 0.797)
Sb (0.266, 0.266, 0.203)
Nd (0.000, 0.000, 0.000)


[7]
Ce2NdSi2Pd2 after structural relaxation. Source: Alexandria, functional PBE.

Lattice parameters (Å, degrees): 4.323 4.323 9.455 76.79 76.79 60.00
Fractional coordinates of all 7 atoms:
Si (0.258, 0.258, 0.227)
Si (0.742, 0.742, 0.773)
Ce (0.861, 0.861, 0.418)
Ce (0.139, 0.139, 0.582)
Nd (0.000, 0.000, 0.000)
Pd (0.593, 0.593, 0.222)
Pd (0.407, 0.407, 0.778)


[8]
CeNdSnPd after structural relaxation. Source: Alexandria, functional PBE.

## Properties
- ΔH_f (0 K): -0.58 eV/atom

Lattice parameters (Å, degrees): 5.323 5.323 5.323 60.00 60.00 60.00
Fractional coordinates of all 4 atoms:
Ce (0.750, 0.750, 0.750)
Nd (0.250, 0.250, 0.250)
Pd (0.000, 0.000, 0.000)
Sn (0.500, 0.500, 0.500)


[9]
CeNdTcPd after structural relaxation. Source: Alexandria, functional PBE.

## Properties
- ΔH_f (0 K): -0.25 eV/atom

Lattice parameters (Å, degrees): 5.002 5.002 5.002 60.00 60.00 60.00
Fractional coordinates of all 4 atoms:
Ce (0.000, 0.000, 0.000)
Tc (0.250, 0.250, 0.250)
Nd (0.500, 0.500, 0.500)
Pd (0.750, 0.750, 0.750)


[10]
CeNdZnPd after structural relaxation. Source: Alexandria, functional PBE.

## Properties
- ΔH_f (0 K): -0.42 eV/atom

Lattice parameters (Å, degrees): 5.143 5.143 5.143 60.00 60.00 60.00
Fractional coordinates of all 4 atoms:
Nd (0.250, 0.250, 0.250)
Zn (0.000, 0.000, 0.000)
Ce (0.750, 0.750, 0.750)
Pd (0.500, 0.500, 0.500)


[11]
CePm4Nd10 after structural relaxation. Source: Alexandria, functional PBE.

## Properties
- ΔH_f (0 K): 0.23 eV/atom

Lattice parameters (Å, degrees): 8.078 9.072 9.072 78.57 63.56 63.56
Fractional coordinates of all 15 atoms:
Pm (0.227, 0.000, 0.546)
Pm (0.773, 0.454, 0.000)
Pm (0.773, 0.000, 0.454)
Pm (0.227, 0.546, 0.000)
Nd (0.710, 0.210, 0.789)
Nd (0.499, 0.211, 0.210)
Nd (0.750, 0.500, 0.500)
Nd (0.250, 0.500, 0.500)
Nd (0.290, 0.210, 0.789)
Nd (0.920, 0.789, 0.790)
Nd (0.290, 0.790, 0.211)
Nd (0.080, 0.211, 0.210)
Nd (0.710, 0.790, 0.211)
Nd (0.501, 0.789, 0.790)
Ce (0.000, 0.000, 0.000)


[12]
CePmNd after structural relaxation. Source: Alexandria, functional PBE.

## Properties
- Energy relative to the lowest polymorph listed for this composition: 1 kJ/mol of formula units
- ΔH_f (0 K): 0.07 eV/atom

Lattice parameters (Å, degrees): 3.575 3.575 8.027 102.87 102.87 90.00
Fractional coordinates of all 3 atoms:
Ce (0.333, 0.333, 0.666)
Pm (0.675, 0.675, 0.351)
Nd (0.992, 0.992, 0.983)


[13]
CePm4Nd after structural relaxation. Source: Alexandria, functional PBE.

## Properties
- Energy relative to the lowest polymorph listed for this composition: 0 kJ/mol of formula units
- ΔH_f (0 K): 0.21 eV/atom

Lattice parameters (Å, degrees): 3.448 6.068 11.622 117.29 90.00 106.51
Fractional coordinates of all 6 atoms:
Nd (0.000, 0.000, 0.500)
Pm (0.842, 0.685, 0.155)
Pm (0.658, 0.315, 0.339)
Pm (0.158, 0.315, 0.845)
Pm (0.342, 0.685, 0.661)
Ce (0.500, 0.000, 0.000)


[14]
CePmNd6 after structural relaxation. Source: Alexandria, functional PBE.

## Properties
- Energy relative to the lowest polymorph listed for this composition: 2 kJ/mol of formula units
- ΔH_f (0 K): 0.05 eV/atom

Lattice parameters (Å, degrees): 6.342 6.342 8.187 105.01 105.01 109.35
Fractional coordinates of all 8 atoms:
Nd (0.377, 0.877, 0.755)
Nd (0.623, 0.123, 0.245)
Nd (0.753, 0.753, 0.505)
Nd (0.877, 0.377, 0.755)
Nd (0.123, 0.623, 0.245)
Nd (0.247, 0.247, 0.495)
Ce (0.000, 0.000, 0.000)
Pm (0.500, 0.500, 0.000)


[15]
CePm3Nd2 after structural relaxation. Source: Alexandria, functional PBE.

## Properties
- ΔH_f (0 K): 0.10 eV/atom

Lattice parameters (Å, degrees): 10.412 10.412 15.337 47.84 47.84 19.77
Fractional coordinates of all 12 atoms:
Ce (0.381, 0.381, 0.641)
Ce (0.619, 0.619, 0.359)
Nd (0.447, 0.447, 0.366)
Nd (0.553, 0.553, 0.634)
Nd (0.852, 0.852, 0.876)
Nd (0.148, 0.148, 0.124)
Pm (0.038, 0.038, 0.855)
Pm (0.327, 0.327, 0.107)
Pm (0.673, 0.673, 0.893)
Pm (0.257, 0.257, 0.389)
Pm (0.962, 0.962, 0.145)
Pm (0.743, 0.743, 0.611)


[16]
CePm7Nd12 after structural relaxation. Source: Alexandria, functional PBE.

## Properties
- Energy relative to the lowest polymorph listed for this composition: 0 kJ/mol of formula units
- ΔH_f (0 K): 0.13 eV/atom

Lattice parameters (Å, degrees): 9.841 9.841 9.841 110.63 110.63 110.63
Fractional coordinates of all 20 atoms:
Nd (0.095, 0.731, 0.155)
Nd (0.372, 0.583, 0.077)
Nd (0.077, 0.372, 0.583)
Nd (0.905, 0.269, 0.845)
Nd (0.923, 0.628, 0.417)
Nd (0.269, 0.845, 0.905)
Nd (0.731, 0.155, 0.095)
Nd (0.583, 0.077, 0.372)
Nd (0.628, 0.417, 0.923)
Nd (0.845, 0.905, 0.269)
Nd (0.155, 0.095, 0.731)
Nd (0.417, 0.923, 0.628)
Pm (0.157, 0.459, 0.287)
Pm (0.459, 0.287, 0.157)
Pm (0.541, 0.713, 0.843)
Pm (0.713, 0.843, 0.541)
Pm (0.500, 0.500, 0.500)
Pm (0.287, 0.157, 0.459)
Pm (0.843, 0.541, 0.713)
Ce (0.000, 0.000, 0.000)


[17]
CePm2Nd8 after structural relaxation. Source: Alexandria, functional PBE.

## Properties
- ΔH_f (0 K): 0.11 eV/atom

Lattice parameters (Å, degrees): 5.742 8.298 9.521 115.84 107.55 90.00
Fractional coordinates of all 11 atoms:
Nd (0.366, 0.157, 0.731)
Nd (0.839, 0.839, 0.678)
Nd (0.366, 0.575, 0.731)
Nd (0.634, 0.843, 0.269)
Nd (0.161, 0.161, 0.322)
Nd (0.634, 0.425, 0.269)
Nd (0.000, 0.712, 0.000)
Nd (0.000, 0.288, 0.000)
Pm (0.200, 0.700, 0.400)
Pm (0.800, 0.300, 0.600)
Ce (0.500, 0.000, 0.000)


[18]
CePm4Nd2 after structural relaxation. Source: Alexandria, functional PBE.

## Properties
- ΔH_f (0 K): 0.04 eV/atom

Lattice parameters (Å, degrees): 3.650 3.651 20.756 90.04 90.00 119.99
Fractional coordinates of all 7 atoms:
Pm (0.380, 0.761, 0.527)
Pm (0.382, 0.764, 0.808)
Pm (0.049, 0.098, 0.950)
Pm (0.048, 0.095, 0.239)
Nd (0.713, 0.427, 0.383)
Nd (0.715, 0.430, 0.095)
Ce (0.714, 0.428, 0.666)


[19]
Ce2PmNd after structural relaxation. Source: Alexandria, functional PBE.

## Properties
- Energy relative to the lowest polymorph listed for this composition: 48 kJ/mol of formula units
- ΔH_f (0 K): 0.24 eV/atom

Lattice parameters (Å, degrees): 3.428 3.428 12.585 82.17 82.17 60.00
Fractional coordinates of all 4 atoms:
Ce (0.913, 0.913, 0.261)
Ce (0.087, 0.087, 0.739)
Pm (0.500, 0.500, 0.500)
Nd (0.000, 0.000, 0.000)


[20]
Ce2PmNd after structural relaxation. Source: Alexandria, functional PBE.

## Properties
- Energy relative to the lowest polymorph listed for this composition: 2 kJ/mol of formula units
- ΔH_f (0 K): 0.12 eV/atom

Lattice parameters (Å, degrees): 3.507 3.507 10.335 90.00 90.00 90.00
Fractional coordinates of all 4 atoms:
Ce (0.000, 0.000, 0.751)
Ce (0.000, 0.000, 0.249)
Pm (0.500, 0.500, 0.000)
Nd (0.500, 0.500, 0.500)


| no. | energy (eV per cell) |
| --- | --- |
| 1 | -23.6 |
| 2 | -22.8 |
| 3 | -25.9 |
| 4 | -26.3 |
| 5 | -26.9 |
| 6 | -41.1 |
| 7 | -43.4 |
| 8 | -22.2 |
| 9 | -27.2 |
| 10 | -18.8 |
| 11 | -69.2 |
| 12 | -15.2 |
| 13 | -28.4 |
| 14 | -38.9 |
| 15 | -58.3 |
| 16 | -93.8 |
| 17 | -52.3 |
| 18 | -34.2 |
| 19 | -20.4 |
| 20 | -20.9 |